Record 1
CsNb2 | PBE | optimized geometry

a b c (Å): 8.710 8.710 8.710
angles (deg): 60.00 60.00 60.00
Element x y z (fractional)
1 Cs 0.125 0.125 0.125
2 Cs 0.875 0.875 0.875
3 Nb 0.000 0.000 0.000
4 Nb 0.000 0.000 0.500
5 Nb 0.000 0.500 0.000
6 Nb 0.500 0.000 0.000

The energy relative to the lowest polymorph listed for this composition comes out at 3103 meV per atom.

Record 2
RbScMo | PBE | optimized geometry

a b c (Å): 7.206 7.206 7.206
angles (deg): 90.00 90.00 90.00
Element x y z (fractional)
1 Rb 0.000 0.000 0.000
2 Rb 0.000 0.500 0.500
3 Rb 0.500 0.000 0.500
4 Rb 0.500 0.500 0.000
5 Sc 0.000 0.000 0.500
6 Sc 0.000 0.500 0.000
7 Sc 0.500 0.000 0.000
8 Sc 0.500 0.500 0.500
9 Mo 0.250 0.250 0.250
10 Mo 0.250 0.750 0.750
11 Mo 0.750 0.250 0.750
12 Mo 0.750 0.750 0.250

The energy relative to the lowest polymorph listed for this composition comes out at 0 meV per atom.